No. 1
# CdHPt3, relaxed, DFT PBE
data_CdHPt3
_cell_length_a 5.029
_cell_length_b 5.029
_cell_length_c 5.029
_cell_angle_alpha 90.00
_cell_angle_beta 90.00
_cell_angle_gamma 90.00
_space_group_name_H-M_alt 'P m -3 m'
_space_group_IT_number 221
_space_group_name_Hall '-P 4 2 3'
loop_
_atom_site_label
_atom_site_type_symbol
_atom_site_fract_x
_atom_site_fract_y
_atom_site_fract_z
Cd1 Cd 0.000 0.000 0.000
H1 H 0.500 0.500 0.500
Pt1 Pt 0.000 0.000 0.500
# excess energy over the best structure of this formula in the dataset = 2059.9 meV per atom

---

No. 2
# Cd2HPt, relaxed, DFT PBE
data_Cd2HPt
_cell_length_a 9.096
_cell_length_b 3.606
_cell_length_c 9.050
_cell_angle_alpha 90.00
_cell_angle_beta 116.34
_cell_angle_gamma 90.00
_space_group_name_H-M_alt 'C 1 2/c 1'
_space_group_IT_number 15
_space_group_name_Hall '-C 2yc'
loop_
_atom_site_label
_atom_site_type_symbol
_atom_site_fract_x
_atom_site_fract_y
_atom_site_fract_z
Cd1 Cd 0.151 0.249 0.100
H1 H 0.000 0.248 0.250
Pt1 Pt 0.000 0.251 0.750
# excess energy over the best structure of this formula in the dataset = 0.0 meV per atom

---

Question: The lowest excess energy over the best structure of this formula in the dataset belongs to which entry?
Answer: Cd2HPt